AgPI: optimized geometry, PBE.

Lattice parameters (Å, degrees): 3.194 4.207 13.647 81.28 89.87 89.98
Element x y z (fractional)
1 Ag 0.000 0.000 0.000
2 Ag 0.500 0.151 0.694
3 P 0.499 0.602 0.793
4 P 0.998 0.549 0.901
5 I 0.007 0.901 0.206
6 I 0.502 0.249 0.488

Computed properties:
* space group: No. 1
* energy relative to the elements, uncorrected: -0.035 eV/atom



AgPI: optimized geometry, PBE.

Lattice parameters (Å, degrees): 6.342 4.354 6.642 90.00 102.80 90.00
Element x y z (fractional)
1 Ag 0.000 0.000 0.000
2 Ag 0.236 0.500 0.779
3 P 0.031 0.500 0.414
4 P 0.172 0.500 0.163
5 I 0.548 0.000 0.802
6 I 0.617 0.500 0.313

Computed properties:
* space group: No. 6
* energy relative to the elements, uncorrected: 0.175 eV/atom



Ag3PI: optimized geometry, PBE.

Lattice parameters (Å, degrees): 5.364 5.364 5.364 90.00 90.00 90.00
Element x y z (fractional)
1 Ag 0.000 0.000 0.500
2 Ag 0.000 0.500 0.000
3 Ag 0.500 0.000 0.000
4 P 0.500 0.500 0.500
5 I 0.000 0.000 0.000

Computed properties:
* space group: No. 221
* energy relative to the elements, uncorrected: 1.094 eV/atom



no.,calculated volume (Å³ per cell)
1,181.27
2,178.86
3,154.31